Entry w
An optimized crystal structure of Th2Pd13, computed with PBE.

a = 7.3997 Å, b = 7.3997 Å, c = 20.4085 Å
α = 90.00°, β = 90.00°, γ = 120.00°
Space group R-3m (No. 166, hexagonal axes)
Symmetry-distinct sites (fractional):
1 Th 0.0000 0.0000 0.2470
2 Pd 0.0000 0.0000 0.0000
3 Pd 0.0844 0.5422 0.3035
4 Pd 0.0839 0.5420 0.5600

Calculated values
density: 9.51 g/cm³

Entry x
An optimized crystal structure of Th2Pd13, computed with PBE.

a = 7.1736 Å, b = 7.1736 Å, c = 18.5266 Å
α = 90.00°, β = 90.00°, γ = 120.00°
Space group R-3m (No. 166, hexagonal axes)
Symmetry-distinct sites (fractional):
1 Th 0.0000 0.0000 0.1656
2 Pd 0.0000 0.0000 0.0000
3 Pd 0.0710 0.5355 0.2275
4 Pd 0.0771 0.5385 0.3755

Calculated values
density: 11.15 g/cm³

It comes down to entry x, which is 227 meV/atom more stable than the next structure.